(1)
{"formula": "Sm4Mg2Cd", "functional": "PBE", "state": "relaxed", "total_energy_ev_per_atom": -3.27, "crystal_system": "tetragonal", "lattice_angstrom": [[7.6011, 0.0000, 0.0000], [0.0000, 7.6011, 0.0000], [0.0000, 0.0000, 7.5742]], "species": ["Sm", "Sm", "Sm", "Sm", "Sm", "Sm", "Sm", "Sm", "Mg", "Mg", "Mg", "Mg", "Cd", "Cd"], "frac_coords": [[0.2500, 0.2500, 0.2500], [0.2500, 0.2500, 0.7500], [0.2500, 0.7500, 0.2500], [0.2500, 0.7500, 0.7500], [0.7500, 0.2500, 0.2500], [0.7500, 0.2500, 0.7500], [0.7500, 0.7500, 0.2500], [0.7500, 0.7500, 0.7500], [0.0000, 0.5000, 0.0000], [0.0000, 0.5000, 0.5000], [0.5000, 0.0000, 0.0000], [0.5000, 0.0000, 0.5000], [0.0000, 0.0000, 0.0000], [0.5000, 0.5000, 0.5000]]}

(2)
{"formula": "Sm3Mg2Cd9", "functional": "PBE", "state": "relaxed", "total_energy_ev_per_atom": -2.08, "crystal_system": "orthorhombic", "lattice_angstrom": [[-2.4492, 4.9218, 7.0857], [2.4492, -4.9218, 7.0857], [2.4492, 4.9218, -7.0857]], "species": ["Sm", "Sm", "Sm", "Mg", "Mg", "Cd", "Cd", "Cd", "Cd", "Cd", "Cd", "Cd", "Cd", "Cd"], "frac_coords": [[0.0000, 0.0000, 0.0000], [0.2847, 0.2847, 0.0000], [0.7153, 0.7153, 0.0000], [0.3278, 0.5000, 0.8278], [0.6722, 0.5000, 0.1722], [0.0142, 0.6542, 0.3600], [0.1450, 0.8597, 0.2853], [0.2941, 0.6542, 0.6400], [0.4256, 0.1403, 0.2853], [0.5000, 0.0000, 0.5000], [0.5744, 0.8597, 0.7147], [0.7059, 0.3458, 0.3600], [0.8550, 0.1403, 0.7147], [0.9858, 0.3458, 0.6400]]}

(3)
{"formula": "SmMg3Cd4", "functional": "PBE", "state": "relaxed", "total_energy_ev_per_atom": -1.85, "crystal_system": "tetragonal", "lattice_angstrom": [[4.8890, 0.0000, 0.0000], [0.0000, 4.8890, 0.0000], [0.0000, 0.0000, 7.7144]], "species": ["Sm", "Mg", "Mg", "Mg", "Cd", "Cd", "Cd", "Cd"], "frac_coords": [[0.0000, 0.0000, 0.0000], [0.0000, 0.0000, 0.5000], [0.5000, 0.5000, 0.0000], [0.5000, 0.5000, 0.5000], [0.0000, 0.5000, 0.2651], [0.0000, 0.5000, 0.7349], [0.5000, 0.0000, 0.2651], [0.5000, 0.0000, 0.7349]]}

(4)
{"formula": "Sm3MgCd5", "functional": "PBE", "state": "relaxed", "total_energy_ev_per_atom": -2.54, "crystal_system": "hexagonal", "lattice_angstrom": [[9.1477, 0.0000, 0.0000], [-4.5739, 7.9222, 0.0000], [0.0000, 0.0000, 6.4195]], "species": ["Sm", "Sm", "Sm", "Sm", "Sm", "Sm", "Mg", "Mg", "Cd", "Cd", "Cd", "Cd", "Cd", "Cd", "Cd", "Cd", "Cd", "Cd"], "frac_coords": [[0.0000, 0.3474, 0.2500], [0.0000, 0.6526, 0.7500], [0.3474, 0.0000, 0.2500], [0.3474, 0.3474, 0.7500], [0.6526, 0.0000, 0.7500], [0.6526, 0.6526, 0.2500], [0.0000, 0.0000, 0.0000], [0.0000, 0.0000, 0.5000], [0.0000, 0.3162, 0.7500], [0.0000, 0.6838, 0.2500], [0.3162, 0.0000, 0.7500], [0.3162, 0.3162, 0.2500], [0.3333, 0.6667, 0.0000], [0.3333, 0.6667, 0.5000], [0.6667, 0.3333, 0.0000], [0.6667, 0.3333, 0.5000], [0.6838, 0.0000, 0.2500], [0.6838, 0.6838, 0.7500]]}

(5)
{"formula": "Sm8MgCd2", "functional": "PBE", "state": "relaxed", "de_polymorph_ev_per_fu": 0.00, "crystal_system": "monoclinic", "lattice_angstrom": [[8.2649, -2.7495, 0.0000], [8.2649, 2.7495, 0.0000], [-4.5088, 0.0000, 7.4478]], "species": ["Sm", "Sm", "Sm", "Sm", "Sm", "Sm", "Sm", "Sm", "Mg", "Cd", "Cd"], "frac_coords": [[0.0681, 0.0681, 0.2239], [0.1380, 0.1380, 0.6892], [0.3181, 0.3181, 0.5532], [0.4070, 0.4070, 0.0461], [0.5930, 0.5930, 0.9539], [0.6819, 0.6819, 0.4468], [0.8620, 0.8620, 0.3108], [0.9319, 0.9319, 0.7761], [0.5000, 0.5000, 0.5000], [0.2306, 0.2306, 0.1238], [0.7694, 0.7694, 0.8762]]}

(6)
{"formula": "Sm2Mg5Cd4", "functional": "PBE", "state": "relaxed", "total_energy_ev_per_atom": -2.02, "crystal_system": "orthorhombic", "lattice_angstrom": [[0.0000, 4.8412, 9.7721], [2.9892, 0.0000, 9.7721], [2.9892, 4.8412, 0.0000]], "species": ["Sm", "Sm", "Mg", "Mg", "Mg", "Mg", "Mg", "Cd", "Cd", "Cd", "Cd"], "frac_coords": [[0.1030, 0.1030, 0.8970], [0.8970, 0.8970, 0.1030], [0.0000, 0.0000, 0.5000], [0.2500, 0.2500, 0.2500], [0.5000, 0.5000, 0.0000], [0.5000, 0.5000, 0.5000], [0.7500, 0.7500, 0.7500], [0.2104, 0.5289, 0.4711], [0.4711, 0.7896, 0.2104], [0.5289, 0.2104, 0.7896], [0.7896, 0.4711, 0.5289]]}